LaSmY5, optimized geometry, DFT PBE-GGA; space-group type = C2/c; energy of formation = 0.702 eV per formula unit; Fermi-level density of states = 1.6614 states/eV per atom
1.0
-4.6682 -2.0589 4.1965
-0.4075 -5.2423 -3.9991
9.9725 -1.6510 5.8258
La Sm Y
2 2 10
direct
0.2583 0.2417 0.7500
0.7417 0.7583 0.2500
0.0000 0.0000 0.0000
0.5000 0.5000 0.5000
0.4493 0.8082 0.8375
0.0709 0.7691 0.5359
0.3082 0.9493 0.3375
0.9090 0.5910 0.7500
0.7309 0.4291 0.9641
0.2691 0.5709 0.0359
0.0910 0.4090 0.2500
0.6918 0.0507 0.6625
0.9291 0.2309 0.4641
0.5507 0.1918 0.1625